# 1
## GdMg4AlPd2 (GGA-PBE)

Data for GdMg4AlPd2 after structural relaxation.

abc: 7.535 7.845 7.845
angles: 31.96 90.00 90.00
Element x y z (fractional)
Gd 0.000 0.000 0.000
Mg 0.221 0.349 0.349
Mg 0.317 0.552 0.552
Mg 0.683 0.552 0.552
Mg 0.779 0.349 0.349
Al 0.000 0.644 0.644
Pd 0.000 0.211 0.211
Pd 0.000 0.820 0.820

Results
Its symmetry is Amm2. The value obtained for the total energy is -3.0699 eV per atom.

***

# 2
## PrNdSi2 (GGA-PBE)

Data for PrNdSi2 after structural relaxation.

abc: 3.958 8.288 5.948
angles: 90.00 90.00 90.00
Element x y z (fractional)
Pr 0.000 0.071 0.000
Pr 0.500 0.929 0.500
Nd 0.000 0.570 0.728
Nd 0.500 0.430 0.228
Si 0.000 0.217 0.493
Si 0.000 0.713 0.235
Si 0.500 0.287 0.735
Si 0.500 0.783 0.993

Results
Its symmetry is Pmn2_1. The energy relative to the lowest polymorph listed for this composition is 0.0 kJ/mol of formula units.

***

# 3
## PmHoSO2 (GGA-PBE)

Data for PmHoSO2 after structural relaxation.

abc: 3.846 3.846 6.648
angles: 90.00 90.00 120.00
Element x y z (fractional)
Pm 0.000 0.000 0.000
Ho 0.333 0.667 0.563
S 0.667 0.333 0.286
O 0.000 0.000 0.643
O 0.333 0.667 0.902

Results
Its symmetry is P3m1. The value obtained for the total energy is -7.8273 eV per atom.

***

# 4
## LuGaBiTe3 (GGA-PBE)

Data for LuGaBiTe3 after structural relaxation.

abc: 7.775 7.775 11.108
angles: 90.00 90.00 147.78
Element x y z (fractional)
Lu 0.000 0.000 0.000
Lu 0.000 0.000 0.500
Ga 0.454 0.546 0.750
Ga 0.546 0.454 0.250
Bi 0.254 0.746 0.250
Bi 0.746 0.254 0.750
Te 0.089 0.911 0.750
Te 0.357 0.643 0.531
Te 0.357 0.643 0.969
Te 0.643 0.357 0.031
Te 0.643 0.357 0.469
Te 0.911 0.089 0.250

Results
Its symmetry is Cmcm. The value obtained for the total energy is -3.9523 eV per atom.

***

# 5
## Pr2Zn (GGA-PBE)

Data for Pr2Zn after structural relaxation.

abc: 6.425 6.425 6.425
angles: 60.00 60.00 60.00
Element x y z (fractional)
Pr 0.000 0.000 0.000
Pr 0.000 0.000 0.500
Pr 0.000 0.500 0.000
Pr 0.500 0.000 0.000
Zn 0.375 0.375 0.375
Zn 0.625 0.625 0.625

Results
Its symmetry is Fd-3m. For the formation energy, the calculation gives 459 meV/atom.

***

# 6
## Tl2HgPdCl6 (GGA-PBE)

Data for Tl2HgPdCl6 after structural relaxation.

abc: 7.258 7.258 7.258
angles: 60.00 60.00 60.00
Element x y z (fractional)
Tl 0.250 0.250 0.250
Tl 0.750 0.750 0.750
Hg 0.000 0.000 0.000
Pd 0.500 0.500 0.500
Cl 0.261 0.261 0.739
Cl 0.261 0.739 0.261
Cl 0.261 0.739 0.739
Cl 0.739 0.261 0.261
Cl 0.739 0.261 0.739
Cl 0.739 0.739 0.261

Results
Its symmetry is Fm-3m. The value obtained for the total energy is -2.8098 eV per atom.

***

# 7
## BAuNO (GGA-PBE)

Data for BAuNO after structural relaxation.

abc: 4.719 7.943 4.207
angles: 90.00 90.00 90.00
Element x y z (fractional)
B 0.088 0.084 0.000
B 0.412 0.084 0.500
B 0.588 0.916 0.000
B 0.912 0.916 0.500
Au 0.023 0.665 0.998
Au 0.477 0.665 0.498
Au 0.523 0.335 0.998
Au 0.977 0.335 0.498
N 0.041 0.273 0.004
N 0.459 0.273 0.504
N 0.541 0.727 0.004
N 0.959 0.727 0.504
O 0.139 0.018 0.669
O 0.361 0.018 0.169
O 0.639 0.982 0.669
O 0.861 0.982 0.169

Results
Its symmetry is Pca2_1. The energy relative to the lowest polymorph listed for this composition is 50.7 kJ/mol of formula units.

***

# 8
## AgSb2O4 (GGA-PBE)

Data for AgSb2O4 after structural relaxation.

abc: 6.800 6.800 6.800
angles: 60.00 60.00 60.00
Element x y z (fractional)
Ag 0.125 0.125 0.125
Ag 0.875 0.875 0.875
Sb 0.000 0.500 0.500
Sb 0.500 0.000 0.500
Sb 0.500 0.500 0.000
Sb 0.500 0.500 0.500
O 0.267 0.267 0.267
O 0.267 0.267 0.699
O 0.267 0.699 0.267
O 0.301 0.733 0.733
O 0.699 0.267 0.267
O 0.733 0.301 0.733
O 0.733 0.733 0.301
O 0.733 0.733 0.733

Results
Its symmetry is Fd-3m. The value obtained for the total energy is -5.1678 eV per atom.

***

# 9
## PaPdPt (GGA-PBE)

Data for PaPdPt after structural relaxation.

abc: 4.585 4.585 4.585
angles: 60.00 60.00 60.00
Element x y z (fractional)
Pa 0.000 0.000 0.000
Pd 0.500 0.500 0.500
Pt 0.250 0.250 0.250

Results
Its symmetry is F-43m. For the formation energy, the calculation gives -537 meV/atom. The energy relative to the lowest polymorph listed for this composition is 0.0 kJ/mol of formula units.

***

# 10
## BaPAu (GGA-PBE)

Data for BaPAu after structural relaxation.

abc: 5.420 5.420 6.441
angles: 90.00 90.00 120.00
Element x y z (fractional)
Ba 0.333 0.667 0.250
Ba 0.667 0.333 0.750
P 0.333 0.667 0.750
P 0.667 0.333 0.250
Au 0.000 0.000 0.000
Au 0.000 0.000 0.500

Results
Its symmetry is P6_3/mmc. The value obtained for the total energy is -3.7834 eV per atom.

***

# 11
## TaBeMoAs (GGA-PBE)

Data for TaBeMoAs after structural relaxation.

abc: 4.341 4.341 4.341
angles: 60.00 60.00 60.00
Element x y z (fractional)
Ta 0.000 0.000 0.000
Be 0.750 0.750 0.750
Mo 0.500 0.500 0.500
As 0.250 0.250 0.250

Results
Its symmetry is F-43m. The energy relative to the lowest polymorph listed for this composition is 0.0 kJ/mol of formula units.

***

# 12
## KBeCu (GGA-PBE)

Data for KBeCu after structural relaxation.

abc: 4.743 4.743 4.743
angles: 60.00 60.00 60.00
Element x y z (fractional)
K 0.000 0.000 0.000
Be 0.500 0.500 0.500
Cu 0.750 0.750 0.750

Results
Its symmetry is F-43m. The energy relative to the lowest polymorph listed for this composition is 0.0 kJ/mol of formula units.

***

# 13
## HfZnIr (GGA-PBE)

Data for HfZnIr after structural relaxation.

abc: 4.362 4.362 4.362
angles: 60.00 60.00 60.00
Element x y z (fractional)
Hf 0.000 0.000 0.000
Zn 0.500 0.500 0.500
Ir 0.250 0.250 0.250

Results
Its symmetry is F-43m. For the formation energy, the calculation gives -465 meV/atom.

***

# 14
## Al5NiIr4 (GGA-PBE)

Data for Al5NiIr4 after structural relaxation.

abc: 2.988 2.988 15.051
angles: 90.00 90.00 90.00
Element x y z (fractional)
Al 0.000 0.000 0.000
Al 0.000 0.000 0.204
Al 0.000 0.000 0.408
Al 0.000 0.000 0.592
Al 0.000 0.000 0.796
Ni 0.500 0.500 0.500
Ir 0.500 0.500 0.101
Ir 0.500 0.500 0.304
Ir 0.500 0.500 0.696
Ir 0.500 0.500 0.899

Results
Its symmetry is P4/mmm. The value obtained for the total energy is -6.8598 eV per atom.

***

# 15
## LuMgScNi (GGA-PBE)

Data for LuMgScNi after structural relaxation.

abc: 4.856 4.856 4.856
angles: 60.00 60.00 60.00
Element x y z (fractional)
Lu 0.000 0.000 0.000
Mg 0.750 0.750 0.750
Sc 0.500 0.500 0.500
Ni 0.250 0.250 0.250

Results
Its symmetry is F-43m. The energy relative to the lowest polymorph listed for this composition is 0.0 kJ/mol of formula units.

***

# 16
## Pr2Ni2GeP (GGA-PBE)

Data for Pr2Ni2GeP after structural relaxation.

abc: 4.071 4.071 8.277
angles: 90.00 90.00 120.00
Element x y z (fractional)
Pr 0.000 0.000 0.243
Pr 0.000 0.000 0.757
Ni 0.333 0.667 0.500
Ni 0.667 0.333 0.000
Ge 0.667 0.333 0.500
P 0.333 0.667 0.000

Results
Its symmetry is P-6m2. The value obtained for the total energy is -6.0329 eV per atom.

***

# 17
## PrURe (GGA-PBE)

Data for PrURe after structural relaxation.

abc: 4.823 4.823 4.823
angles: 60.00 60.00 60.00
Element x y z (fractional)
Pr 0.000 0.000 0.000
U 0.500 0.500 0.500
Re 0.750 0.750 0.750

Results
Its symmetry is F-43m. For the formation energy, the calculation gives 663 meV/atom. The energy relative to the lowest polymorph listed for this composition is 0.0 kJ/mol of formula units.

***

# 18
## TbTmAg2O4 (GGA-PBE)

Data for TbTmAg2O4 after structural relaxation.

abc: 3.457 3.457 12.510
angles: 90.00 90.00 120.00
Element x y z (fractional)
Tb 0.000 0.000 0.000
Tm 0.000 0.000 0.500
Ag 0.333 0.667 0.748
Ag 0.667 0.333 0.252
O 0.333 0.667 0.582
O 0.333 0.667 0.913
O 0.667 0.333 0.087
O 0.667 0.333 0.418

Results
Its symmetry is P-3m1. The value obtained for the total energy is -6.6193 eV per atom.

***

# 19
## GdMgZnNi (GGA-PBE)

Data for GdMgZnNi after structural relaxation.

abc: 5.266 5.266 7.681
angles: 91.26 91.26 45.49
Element x y z (fractional)
Gd 0.065 0.065 0.275
Gd 0.935 0.935 0.725
Mg 0.350 0.350 0.057
Mg 0.650 0.650 0.943
Zn 0.353 0.353 0.442
Zn 0.647 0.647 0.558
Ni 0.225 0.225 0.732
Ni 0.775 0.775 0.268

Results
Its symmetry is C2/m. The energy relative to the lowest polymorph listed for this composition is 0.0 kJ/mol of formula units.

***

# 20
## AgPbSO (GGA-PBE)

Data for AgPbSO after structural relaxation.

abc: 6.799 6.799 6.090
angles: 90.00 90.00 147.85
Element x y z (fractional)
Ag 0.080 0.920 0.750
Ag 0.920 0.080 0.250
Pb 0.367 0.633 0.750
Pb 0.633 0.367 0.250
S 0.285 0.715 0.250
S 0.715 0.285 0.750
O 0.500 0.500 0.000
O 0.500 0.500 0.500

Results
Its symmetry is Cmcm. The energy relative to the lowest polymorph listed for this composition is 96.4 kJ/mol of formula units.

***

# 21
## SrLiTc (GGA-PBE)

Data for SrLiTc after structural relaxation.

abc: 4.735 4.735 4.735
angles: 60.00 60.00 60.00
Element x y z (fractional)
Sr 0.000 0.000 0.000
Li 0.250 0.250 0.250
Tc 0.500 0.500 0.500

Results
Its symmetry is F-43m. The energy relative to the lowest polymorph listed for this composition is 0.0 kJ/mol of formula units.

***

# 22
## Dy3Fe (GGA-PBE)

Data for Dy3Fe after structural relaxation.

abc: 5.877 5.877 5.877
angles: 134.17 134.17 66.82
Element x y z (fractional)
Dy 0.000 0.000 0.000
Dy 0.250 0.750 0.500
Dy 0.750 0.250 0.500
Fe 0.500 0.500 0.000

Results
Its symmetry is I4/mmm. For the formation energy, the calculation gives 331 meV/atom.

***

# 23
## ErInPt (GGA-PBE)

Data for ErInPt after structural relaxation.

abc: 7.462 7.462 3.999
angles: 90.00 90.00 120.00
Element x y z (fractional)
Er 0.000 0.591 0.000
Er 0.409 0.409 0.000
Er 0.591 0.000 0.000
In 0.000 0.256 0.500
In 0.256 0.000 0.500
In 0.744 0.744 0.500
Pt 0.000 0.000 0.000
Pt 0.333 0.667 0.500
Pt 0.667 0.333 0.500

Results
Its symmetry is P-62m. The value obtained for the total energy is -5.4466 eV per atom.

***

# 24
## Gd4PbC2I (GGA-PBE)

Data for Gd4PbC2I after structural relaxation.

abc: 3.745 3.745 15.562
angles: 90.00 90.00 120.00
Element x y z (fractional)
Gd 0.000 0.000 0.161
Gd 0.000 0.000 0.839
Gd 0.333 0.667 0.331
Gd 0.333 0.667 0.669
Pb 0.000 0.000 0.500
C 0.667 0.333 0.240
C 0.667 0.333 0.760
I 0.333 0.667 0.000

Results
Its symmetry is P-6m2. The value obtained for the total energy is -5.8946 eV per atom.

***

# 25
## YNpAl (GGA-PBE)

Data for YNpAl after structural relaxation.

abc: 4.764 4.764 4.764
angles: 60.00 60.00 60.00
Element x y z (fractional)
Y 0.000 0.000 0.000
Np 0.250 0.250 0.250
Al 0.750 0.750 0.750

Results
Its symmetry is F-43m. The energy relative to the lowest polymorph listed for this composition is 0.0 kJ/mol of formula units.

***

# 26
## H4W (GGA-PBE)

Data for H4W after structural relaxation.

abc: 2.766 2.770 4.729
angles: 90.00 94.51 90.00
Element x y z (fractional)
H 0.031 0.000 0.268
H 0.466 0.500 0.732
H 0.534 0.500 0.268
H 0.969 0.000 0.732
W 0.000 0.500 0.000

Results
Its symmetry is P2/m. The energy relative to the lowest polymorph listed for this composition is 53.7 kJ/mol of formula units.